[1]
SiSbTe2I meta-GGA SCAN PBEsol geometry; DOS(E_F) = 4.320 states/eV/cell; uncorrected energy = -151.39 eV per formula unit; E_form (uncorrected) = 1.4251 eV per atom
1.0
-2.805 3.370 3.597
-4.055 0.775 -3.889
-2.812 -4.511 2.034
I Sb Si Te
1 1 1 2
direct
0.000 0.000 0.000
0.000 0.000 0.500
0.500 0.500 0.500
0.000 0.500 0.000
0.500 0.000 0.000


[2]
Sc3Co meta-GGA SCAN PBEsol geometry; ΔE_f = -0.710 eV/f.u.; DOS(E_F) = 15.996 states/eV/cell; uncorrected energy = -60.73 eV per formula unit
1.0
5.790 0.000 0.000
0.000 6.334 0.000
0.000 0.000 8.433
Co Sc
4 12
direct
0.535 0.104 0.750
0.035 0.396 0.250
0.965 0.604 0.750
0.465 0.896 0.250
0.880 0.039 0.250
0.322 0.178 0.062
0.322 0.178 0.438
0.822 0.322 0.562
0.822 0.322 0.938
0.380 0.461 0.750
0.620 0.539 0.250
0.178 0.678 0.062
0.178 0.678 0.438
0.678 0.822 0.562
0.678 0.822 0.938
0.120 0.961 0.750


[3]
NaNiPO4 meta-GGA SCAN PBEsol geometry; excess energy over the best structure of this formula in the dataset = 0.0048 eV/atom; DOS(E_F) = 0.000 states/eV/cell; uncorrected energy = -70.97 eV per formula unit; E_form (uncorrected) = -2.1804 eV per atom
1.0
4.917 0.000 0.000
0.000 6.075 0.000
0.000 0.000 10.038
Na Ni P O
4 4 4 16
direct
0.000 0.000 0.000
0.000 0.500 0.000
0.500 0.000 0.500
0.500 0.500 0.500
0.009 0.750 0.720
0.491 0.750 0.220
0.509 0.250 0.780
0.991 0.250 0.280
0.559 0.750 0.891
0.059 0.250 0.609
0.941 0.750 0.391
0.441 0.250 0.109
0.343 0.250 0.962
0.843 0.750 0.538
0.157 0.250 0.462
0.657 0.750 0.038
0.247 0.750 0.885
0.747 0.250 0.615
0.253 0.750 0.385
0.753 0.250 0.115
0.696 0.950 0.819
0.696 0.550 0.819
0.196 0.450 0.681
0.196 0.050 0.681
0.804 0.950 0.319
0.804 0.550 0.319
0.304 0.450 0.181
0.304 0.050 0.181


[4]
Li2MnTc meta-GGA SCAN PBEsol geometry; excess energy over the best structure of this formula in the dataset = 0.1113 eV/atom; ΔE_f = 1.065 eV/f.u.; DOS(E_F) = 2.291 states/eV/cell; uncorrected energy = -57.03 eV per formula unit
1.0
-1.511 0.966 -1.943
-0.494 -1.467 -2.144
-8.059 -3.591 2.684
Li Mn Tc
2 1 1
direct
0.995 0.995 0.015
0.758 0.758 0.727
0.506 0.506 0.483
0.242 0.242 0.275


[5]
SrLiCd2 meta-GGA SCAN PBEsol geometry; excess energy over the best structure of this formula in the dataset = 0.0881 eV/atom; ΔE_f = -0.951 eV/f.u.; DOS(E_F) = 2.995 states/eV/cell; uncorrected energy = -86.45 eV per formula unit
1.0
5.282 0.000 0.000
2.641 4.574 0.000
2.641 1.525 4.313
Sr Cd Li
1 2 1
direct
0.500 0.500 0.500
0.250 0.250 0.250
0.750 0.750 0.750
0.000 0.000 0.000


[6]
TaCoRh2 meta-GGA SCAN PBEsol geometry; ΔE_f = -1.595 eV/f.u.; DOS(E_F) = 2.316 states/eV/cell; uncorrected energy = -153.03 eV per formula unit
1.0
-1.305 -0.602 -2.395
2.943 -1.722 -1.171
-1.855 -4.653 2.179
Co Rh Ta
1 2 1
direct
0.500 0.500 0.500
0.000 0.000 0.736
0.000 0.000 0.264
0.500 0.500 0.000


[7]
MnIn2Br meta-GGA SCAN PBEsol geometry; excess energy over the best structure of this formula in the dataset = 0.0000 eV/atom; DOS(E_F) = 1.946 states/eV/cell; uncorrected energy = -105.13 eV per formula unit; E_form (uncorrected) = -0.1618 eV per atom
1.0
3.186 0.000 0.000
0.000 3.186 0.000
0.000 0.000 9.026
Br In Mn
1 2 1
direct
0.500 0.500 0.676
0.000 0.000 0.019
0.500 0.500 0.298
0.000 0.000 0.507


[8]
TcGeH2 meta-GGA SCAN PBEsol geometry; DOS(E_F) = 1.561 states/eV/cell; uncorrected energy = -57.26 eV per formula unit
1.0
-3.048 1.933 0.739
-2.312 -1.141 2.631
-0.269 1.879 3.157
H Ge Tc
2 1 1
direct
0.250 0.250 0.250
0.750 0.750 0.750
0.000 0.000 0.000
0.500 0.500 0.500


[9]
RbBaGeOs2 meta-GGA SCAN PBEsol geometry; ΔE_f = 14.636 eV/f.u.; DOS(E_F) = 4.787 states/eV/cell; uncorrected energy = -208.50 eV per formula unit
1.0
4.853 0.000 0.000
0.000 4.853 0.000
0.000 0.000 5.596
Ge Os Ba Rb
1 2 1 1
direct
0.500 0.500 0.500
0.000 0.500 0.000
0.500 0.000 0.000
0.000 0.000 0.500
0.000 0.000 0.000


[10]
TcSCl3 meta-GGA SCAN PBEsol geometry; DOS(E_F) = 2.718 states/eV/cell; uncorrected energy = -64.84 eV per formula unit; E_form (uncorrected) = 0.7565 eV per atom
1.0
-0.271 -4.724 -0.823
1.349 -0.866 4.527
-4.601 0.025 1.376
S Tc Cl
1 1 3
direct
0.000 0.000 0.000
0.500 0.500 0.500
0.000 0.500 0.000
0.000 0.000 0.500
0.500 0.000 0.000


[11]
KRu2Rh meta-GGA SCAN PBEsol geometry; excess energy over the best structure of this formula in the dataset = 0.1608 eV/atom; ΔE_f = 3.771 eV/f.u.; DOS(E_F) = 3.849 states/eV/cell; uncorrected energy = -107.98 eV per formula unit
1.0
2.668 0.000 0.008
0.000 4.400 0.000
-0.985 0.000 6.469
K Rh Ru
1 1 2
direct
0.500 0.500 0.000
0.000 0.500 0.500
0.777 0.000 0.664
0.223 0.000 0.336


[12]
BaCSe2 meta-GGA SCAN PBEsol geometry; DOS(E_F) = 0.217 states/eV/cell; uncorrected energy = -89.68 eV per formula unit; E_form (uncorrected) = 0.0310 eV per atom
1.0
-3.457 1.321 -5.064
-1.569 -5.627 2.285
-1.010 4.267 4.485
C Ba Se
2 2 4
direct
0.500 0.250 0.750
0.000 0.500 0.500
0.500 0.750 0.250
0.000 0.000 0.000
0.864 0.489 0.125
0.136 0.261 0.625
0.364 0.875 0.739
0.636 0.375 0.511


[13]
Cr2Os meta-GGA SCAN PBEsol geometry; ΔE_f = 0.785 eV/f.u.; DOS(E_F) = 3.360 states/eV/cell; uncorrected energy = -107.86 eV per formula unit
1.0
2.628 0.000 0.000
-1.314 2.276 0.000
0.000 0.000 6.262
Cr Os
2 1
direct
0.667 0.333 0.338
0.333 0.667 0.662
0.000 0.000 0.000


[14]
Sm2AgRh meta-GGA SCAN PBEsol geometry; ΔE_f = -2.321 eV/f.u.; DOS(E_F) = 2.522 states/eV/cell; uncorrected energy = -156.34 eV per formula unit
1.0
4.993 0.000 0.000
2.496 4.324 0.000
2.496 1.441 4.077
Rh Sm Ag
1 2 1
direct
0.000 0.000 0.000
0.250 0.250 0.250
0.750 0.750 0.750
0.500 0.500 0.500